Entry from the Alexandria database: a relaxed BaSn2S4 crystal (PBE).

Lattice parameters (Å, degrees): 15.3143 8.8720 6.7433 90.00 90.00 90.00
Space group Pnma (No. 62)
Symmetry-distinct sites (fractional):
Ba  0.2287  0.2500  0.0210 [4 per cell]
Sn  0.0000  0.0000  0.5000 [4 per cell]
Sn  0.0820  0.7500  0.0923 [4 per cell]
S  0.0610  0.2500  0.7498 [4 per cell]
S  0.0821  0.7500  0.7359 [4 per cell]
S  0.1547  0.5359  0.2450 [8 per cell]

Summary:
* energy above the lowest structure with this stoichiometry: 0.0000 eV/atom
* uncorrected formation energy: -0.9003 eV/atom